Entry from Alexandria: a geometry-optimized Ca5Tl4Hg2 structure (GGA-PBE).

Results
V = 28.8 Å³/atom
ρ = 7.44 g cm⁻³
total moment = 0.0 μB per formula unit
formation energy = -0.4253 eV per atom

Cell and atoms, written as POSCAR:
```
Ca5Tl4Hg2
1.0
8.514 0.000 0.000
0.000 19.118 0.000
0.000 0.000 3.892
Ca Tl Hg
10 8 4
Cartesian
0.000 0.000 0.000 Ca
0.978 8.012 0.000 Ca
1.923 3.880 0.000 Ca
2.334 13.439 0.000 Ca
3.279 17.570 0.000 Ca
4.257 9.559 0.000 Ca
5.235 1.547 0.000 Ca
6.180 5.679 0.000 Ca
6.591 15.238 0.000 Ca
7.536 11.106 0.000 Ca
0.787 16.362 1.946 Tl
1.757 10.687 1.946 Tl
2.500 1.128 1.946 Tl
3.470 6.804 1.946 Tl
5.044 12.314 1.946 Tl
6.014 17.989 1.946 Tl
6.757 8.431 1.946 Tl
7.727 2.755 1.946 Tl
0.212 5.705 1.946 Hg
4.045 15.263 1.946 Hg
4.469 3.854 1.946 Hg
8.302 13.413 1.946 Hg
```



Entry from Alexandria: a geometry-optimized Sn2Rh structure (GGA-PBE).

Results
V = 20.2 Å³/atom
ρ = 9.33 g cm⁻³
total moment = 0.0 μB per formula unit
formation energy = -0.4080 eV per atom

Cell and atoms, written as POSCAR:
```
Sn2Rh
1.0
2.868 -4.592 0.000
2.868 4.592 0.000
-2.849 0.000 4.597
Sn Rh
4 2
Cartesian
2.868 3.101 0.000 Sn
0.012 0.000 3.105 Sn
2.876 0.000 1.492 Sn
2.868 -3.101 0.000 Sn
1.444 2.296 2.298 Rh
1.444 -2.296 2.298 Rh
```



Entry from Alexandria: a geometry-optimized SrSiNi2 structure (GGA-PBE).

Results
V = 17.0 Å³/atom
E_form (uncorrected) = -0.016 eV per atom
ρ = 5.71 g cm⁻³
total moment = 0.0 μB per formula unit

Cell and atoms, written as POSCAR:
```
SrSiNi2
1.0
3.003 0.000 0.000
0.000 3.388 0.000
0.000 0.000 6.667
Sr Si Ni
1 1 2
Cartesian
0.000 0.000 0.000 Sr
1.502 1.694 4.349 Si
0.000 0.000 3.372 Ni
1.502 1.694 2.112 Ni
```



Entry from Alexandria: a geometry-optimized FeAu structure (GGA-PBE).

Results
V = 15.2 Å³/atom
ρ = 13.80 g cm⁻³
total moment = 2.8 μB per formula unit
formation energy = 0.1658 eV per atom

Cell and atoms, written as POSCAR:
```
FeAu
1.0
-1.654 2.161 4.255
1.654 -2.161 4.255
1.654 2.161 -4.255
Fe Au
2 2
Cartesian
0.000 1.081 1.235 Fe
1.654 1.081 3.019 Fe
1.654 1.081 -0.964 Au
0.000 1.081 5.219 Au
```



Entry from Alexandria: a geometry-optimized LiP2PdCl structure (GGA-PBE).

Results
V = 30.6 Å³/atom
E_form (uncorrected) = 0.074 eV per atom
offset from the most stable computed form = 0.0 meV/atom
ρ = 2.29 g cm⁻³
total moment = 0.2 μB per formula unit

Cell and atoms, written as POSCAR:
```
LiP2PdCl
1.0
4.418 0.000 0.000
0.000 4.418 0.000
0.000 0.000 7.844
Li P Pd Cl
1 2 1 1
Cartesian
0.000 0.000 0.000 Li
0.000 2.209 3.922 P
2.209 0.000 3.922 P
2.209 2.209 3.922 Pd
2.209 2.209 0.000 Cl
```



Entry from Alexandria: a geometry-optimized Ho2Er5Sc4 structure (GGA-PBE).

Results
V = 29.1 Å³/atom
offset from the most stable computed form = 67.6 meV/atom
ρ = 6.97 g cm⁻³
total moment = 0.0 μB per formula unit
formation energy = 0.1089 eV per atom

Cell and atoms, written as POSCAR:
```
Ho2Er5Sc4
1.0
8.647 0.000 0.000
0.000 3.483 0.000
-0.895 0.000 10.645
Ho Er Sc
2 5 4
Cartesian
0.529 0.000 1.455 Ho
7.222 0.000 9.191 Ho
0.704 0.000 6.735 Er
3.765 0.000 1.775 Er
3.876 0.000 5.323 Er
3.987 0.000 8.870 Er
7.048 0.000 3.911 Er
1.411 1.742 3.950 Sc
1.313 1.742 9.853 Sc
6.439 1.742 0.793 Sc
6.341 1.742 6.696 Sc
```



Entry from Alexandria: a geometry-optimized TaS2NCl structure (GGA-PBE).

Results
V = 14.2 Å³/atom
E_form (uncorrected) = 1.099 eV per atom
offset from the most stable computed form = 911.1 meV/atom
ρ = 6.91 g cm⁻³
total moment = 0.0 μB per formula unit

Cell and atoms, written as POSCAR:
```
TaS2NCl
1.0
4.214 0.000 0.000
0.000 4.214 0.000
0.000 0.000 3.988
Ta S N Cl
1 2 1 1
Cartesian
0.000 0.000 0.000 Ta
0.000 2.107 1.994 S
2.107 0.000 1.994 S
2.107 2.107 1.994 N
2.107 2.107 0.000 Cl
```



Entry from Alexandria: a geometry-optimized CsNbCd structure (GGA-PBE).

Results
V = 37.3 Å³/atom
offset from the most stable computed form = 28.1 meV/atom
ρ = 5.01 g cm⁻³
total moment = 0.0 μB per formula unit
formation energy = 0.4163 eV per atom

Cell and atoms, written as POSCAR:
```
CsNbCd
1.0
3.753 0.000 0.000
-0.001 4.428 0.000
-0.783 -2.100 13.480
Cs Nb Cd
2 2 2
Cartesian
0.000 0.000 0.000 Cs
1.073 2.310 4.735 Cs
1.113 2.304 8.165 Nb
2.991 2.306 10.048 Nb
1.114 0.093 10.481 Cd
2.990 0.090 7.733 Cd
```